[1]
Density functional theory data (PBE) for a relaxed structure of Na6Tl12Pb.

```
Na6Tl12Pb
1.0
-6.697 0.561 4.834
-0.968 -8.208 -0.475
4.808 -0.903 6.678
Tl Na Pb
12 6 1
Direct
0.847 0.623 0.954
0.623 0.954 0.847
0.208 0.470 0.554
0.046 0.153 0.377
0.792 0.530 0.446
0.554 0.208 0.470
0.954 0.847 0.623
0.377 0.046 0.153
0.153 0.377 0.046
0.446 0.792 0.530
0.530 0.446 0.792
0.470 0.554 0.208
0.266 0.724 0.884
0.884 0.266 0.724
0.116 0.734 0.276
0.276 0.116 0.734
0.734 0.276 0.116
0.724 0.884 0.266
0.000 0.000 0.000
```

Values from the calculation:
symmetry	R-3, No. 148
calculated formation energy	-1.3	eV/f.u.
total magnetic moment	0.0	μB/cell
D(E_F)	8.8	states/eV per cell


[2]
Density functional theory data (PBE) for a relaxed structure of LiY2CoH.

```
LiY2CoH
1.0
-1.535 1.892 -4.162
-4.571 -0.571 1.427
0.050 3.253 1.461
H Co Y Li
1 1 2 1
Direct
0.000 0.000 0.000
0.500 0.500 0.500
0.000 0.500 0.000
0.500 0.000 0.000
0.000 0.000 0.500
```

Values from the calculation:
symmetry	P4/mmm, No. 123
energy above the most stable polymorph in this dataset	0	meV per atom
total magnetic moment	0.2	μB/cell
D(E_F)	2.9	states/eV per cell


[3]
Density functional theory data (PBE) for a relaxed structure of Na4ZnP4H16C2N2O16.

```
Na4ZnP4H16C2N2O16
1.0
-2.210 -5.172 -0.410
3.114 -1.289 5.245
-9.878 4.291 6.336
P N O Na H Zn C
4 2 16 4 16 1 2
Direct
0.020 0.298 0.365
0.980 0.702 0.635
0.364 0.599 0.249
0.636 0.401 0.751
0.986 0.732 0.359
0.014 0.268 0.641
0.499 0.324 0.644
0.744 0.733 0.572
0.256 0.267 0.428
0.203 0.192 0.940
0.807 0.317 0.438
0.434 0.385 0.199
0.962 0.119 0.278
0.038 0.881 0.722
0.193 0.683 0.562
0.373 0.788 0.172
0.797 0.808 0.060
0.225 0.644 0.951
0.501 0.676 0.356
0.775 0.356 0.049
0.627 0.212 0.828
0.566 0.615 0.801
0.111 0.089 0.113
0.889 0.911 0.887
0.527 0.089 0.314
0.473 0.911 0.686
0.803 0.709 0.371
0.713 0.315 0.976
0.363 0.647 0.903
0.078 0.739 0.434
0.922 0.261 0.566
0.287 0.685 0.024
0.189 0.350 0.949
0.006 0.882 0.322
0.811 0.650 0.051
0.936 0.529 0.220
0.064 0.471 0.780
0.650 0.819 0.100
0.197 0.291 0.629
0.350 0.181 0.900
0.994 0.118 0.678
0.637 0.353 0.097
0.500 0.500 0.500
0.057 0.549 0.291
0.943 0.451 0.709
```

Values from the calculation:
symmetry	P-1, No. 2
VASP energy	-255.9	eV/cell
total magnetic moment	0.0	μB/cell
D(E_F)	0.0	states/eV per cell


[4]
Density functional theory data (PBE) for a relaxed structure of RbYAu2.

```
RbYAu2
1.0
-0.446 -1.905 -8.066
6.762 -4.753 0.749
0.867 -6.453 -2.794
Y Au Rb
2 4 2
Direct
0.750 0.250 0.500
0.000 0.000 0.000
0.676 0.125 0.250
0.074 0.625 0.250
0.375 0.324 0.750
0.875 0.926 0.750
0.500 0.500 0.000
0.250 0.750 0.500
```

Values from the calculation:
symmetry	I-42d, No. 122
calculated formation energy	-0.5	eV/f.u.
energy above the most stable polymorph in this dataset	418	meV per atom
total magnetic moment	0.0	μB/cell
D(E_F)	8.1	states/eV per cell


[5]
Density functional theory data (PBE) for a relaxed structure of NbZn2Ag.

```
NbZn2Ag
1.0
-6.274 3.297 -0.260
-0.646 -1.769 -6.838
-4.756 -1.644 -2.804
Zn Nb Ag
4 2 2
Direct
0.636 0.125 0.250
0.114 0.625 0.250
0.375 0.364 0.750
0.875 0.886 0.750
0.500 0.500 0.000
0.250 0.750 0.500
0.750 0.250 0.500
0.000 0.000 0.000
```

Values from the calculation:
symmetry	I-42d, No. 122
calculated formation energy	1.7	eV/f.u.
total magnetic moment	0.0	μB/cell
D(E_F)	1.9	states/eV per cell


[6]
Density functional theory data (PBE) for a relaxed structure of Sc8CdAg2.

```
Sc8CdAg2
1.0
4.679 0.000 -1.511
-1.197 6.780 -3.709
-0.041 -0.102 7.872
Sc Ag Cd
8 2 1
Direct
0.936 0.279 0.871
0.317 0.050 0.634
0.595 0.461 0.190
0.683 0.950 0.366
0.858 0.809 0.717
0.142 0.191 0.283
0.064 0.721 0.129
0.405 0.539 0.810
0.776 0.381 0.552
0.224 0.619 0.448
0.500 0.000 0.000
```

Values from the calculation:
symmetry	C2/m, No. 12
calculated formation energy	-1.3	eV/f.u.
energy above the most stable polymorph in this dataset	0	meV per atom
total magnetic moment	0.0	μB/cell
D(E_F)	17.2	states/eV per cell


[7]
Density functional theory data (PBE) for a relaxed structure of KCuRu2Br.

```
KCuRu2Br
1.0
-1.587 -1.524 -4.566
4.637 -1.614 -1.072
-1.142 -4.552 1.916
Ru Br K Cu
2 1 1 1
Direct
0.000 0.000 0.500
0.500 0.000 0.000
0.500 0.500 0.500
0.000 0.000 0.000
0.000 0.500 0.000
```

Values from the calculation:
symmetry	P4/mmm, No. 123
formation energy without anion corrections	2.441	eV per atom
total magnetic moment	4.7	μB/cell
D(E_F)	5.5	states/eV per cell


[8]
Density functional theory data (PBE) for a relaxed structure of Pm2PaGe4Pt3.

```
Pm2PaGe4Pt3
1.0
4.306 0.000 0.000
0.000 4.306 0.000
0.000 0.000 11.456
Pt Pa Ge Pm
3 1 4 2
Direct
0.000 0.500 0.117
0.000 0.000 0.500
0.500 0.000 0.883
0.500 0.500 0.500
0.500 0.500 0.000
0.500 0.000 0.667
0.000 0.500 0.333
0.000 0.000 0.000
0.500 0.000 0.223
0.000 0.500 0.777
```

Values from the calculation:
symmetry	P-4m2, No. 115
calculated formation energy	-7.7	eV/f.u.
total magnetic moment	0.0	μB/cell
D(E_F)	6.3	states/eV per cell


[9]
Density functional theory data (PBE) for a relaxed structure of CaPr4Ho6.

```
CaPr4Ho6
1.0
7.575 -3.062 -5.631
-5.262 8.163 2.032
-1.974 3.062 9.230
Ho Ca Pr
6 1 4
Direct
0.500 0.500 0.000
0.348 0.548 0.548
0.000 0.800 0.452
0.500 0.000 0.500
0.652 0.200 0.200
0.000 0.452 0.800
0.000 0.000 0.000
0.000 0.010 0.633
0.623 0.990 0.990
0.377 0.367 0.367
0.000 0.633 0.010
```

Values from the calculation:
symmetry	I-42m, No. 121
calculated formation energy	3.6	eV/f.u.
total magnetic moment	0.0	μB/cell
D(E_F)	14.5	states/eV per cell


[10]
Density functional theory data (PBE) for a relaxed structure of Hf3ScAu.

```
Hf3ScAu
1.0
5.138 0.000 0.000
0.000 5.138 0.000
0.000 0.000 5.138
Hf Au Sc
3 1 1
Direct
0.500 0.000 0.000
0.000 0.500 0.000
0.000 0.000 0.500
0.000 0.000 0.000
0.500 0.500 0.500
```

Values from the calculation:
symmetry	Pm-3m, No. 221
calculated formation energy	3.1	eV/f.u.
energy above the most stable polymorph in this dataset	0	meV per atom
total magnetic moment	0.0	μB/cell
D(E_F)	1.8	states/eV per cell


[11]
Density functional theory data (PBE) for a relaxed structure of VPdI2.

```
VPdI2
1.0
2.730 0.873 4.170
-1.088 3.963 2.953
-2.051 -0.735 4.567
I V Pd
2 1 1
Direct
0.250 0.250 0.250
0.750 0.750 0.750
0.000 0.000 0.000
0.500 0.500 0.500
```

Values from the calculation:
symmetry	Fm-3m, No. 225
formation energy without anion corrections	0.341	eV per atom
energy above the most stable polymorph in this dataset	210	meV per atom
total magnetic moment	3.0	μB/cell
D(E_F)	1.3	states/eV per cell


[12]
Density functional theory data (PBE) for a relaxed structure of MgF.

```
MgF
1.0
8.947 0.000 0.000
-4.473 7.748 0.000
0.000 0.000 3.148
Mg F
6 6
Direct
0.334 0.955 0.750
0.045 0.379 0.750
0.955 0.621 0.250
0.666 0.045 0.250
0.379 0.334 0.250
0.621 0.666 0.750
0.830 0.144 0.750
0.315 0.170 0.750
0.685 0.830 0.250
0.856 0.685 0.750
0.144 0.315 0.250
0.170 0.856 0.250
```

Values from the calculation:
symmetry	P6_3/m, No. 176
formation energy without anion corrections	-2.410	eV per atom
energy above the most stable polymorph in this dataset	31	meV per atom
total magnetic moment	0.0	μB/cell
D(E_F)	2.4	states/eV per cell


Q: What is the D(E_F) in the eighth record?
A: 6.3 states/eV per cell


Q: Look up the D(E_F) of the tenth one.
A: 1.8 states/eV per cell